An optimized crystal structure of Ti11Zn9Ru4. Source: the Alexandria database, functional PBE.

Lattice parameters (Å, degrees): 11.405 11.405 3.105 90.00 90.00 112.64
Element x y z (fractional)
Ti  0.000  0.000  0.000
Ti  0.072  0.413  0.000
Ti  0.165  0.835  0.000
Ti  0.267  0.267  0.000
Ti  0.352  0.648  0.000
Ti  0.413  0.072  0.000
Ti  0.587  0.928  0.000
Ti  0.648  0.352  0.000
Ti  0.733  0.733  0.000
Ti  0.835  0.165  0.000
Ti  0.928  0.587  0.000
Zn  0.050  0.208  0.500
Zn  0.145  0.630  0.500
Zn  0.208  0.050  0.500
Zn  0.370  0.855  0.500
Zn  0.500  0.500  0.500
Zn  0.630  0.145  0.500
Zn  0.792  0.950  0.500
Zn  0.855  0.370  0.500
Zn  0.950  0.792  0.500
Ru  0.260  0.448  0.500
Ru  0.448  0.260  0.500
Ru  0.552  0.740  0.500
Ru  0.740  0.552  0.500



An optimized crystal structure of Ti2Zn2Ru. Source: the Alexandria database, functional PBE.

Lattice parameters (Å, degrees): 8.987 8.987 2.984 90.00 90.00 160.56
Element x y z (fractional)
Ti  0.089  0.911  0.000
Ti  0.911  0.089  0.000
Zn  0.309  0.691  0.500
Zn  0.691  0.309  0.500
Ru  0.500  0.500  0.500

Summary:
Excess energy over the best structure of this formula in the dataset: 0 meV per atom



An optimized crystal structure of TiZnRu2. Source: the Alexandria database, functional PBE.

Lattice parameters (Å, degrees): 9.047 9.047 9.047 155.33 155.33 35.17
Element x y z (fractional)
Ti  0.000  0.000  0.000
Ti  0.750  0.250  0.500
Zn  0.250  0.750  0.500
Zn  0.500  0.500  0.000
Ru  0.172  0.625  0.047
Ru  0.375  0.422  0.547
Ru  0.578  0.125  0.953
Ru  0.875  0.828  0.453



An optimized crystal structure of TiZn2Ru. Source: the Alexandria database, functional PBE.

Lattice parameters (Å, degrees): 4.333 4.333 4.333 60.00 60.00 60.00
Element x y z (fractional)
Ti  0.000  0.000  0.000
Zn  0.250  0.250  0.250
Zn  0.750  0.750  0.750
Ru  0.500  0.500  0.500

Summary:
Excess energy over the best structure of this formula in the dataset: 0 meV per atom



An optimized crystal structure of Ti3ZnRu. Source: the Alexandria database, functional PBE.

Lattice parameters (Å, degrees): 4.692 4.692 4.692 90.00 90.00 90.00
Element x y z (fractional)
Ti  0.000  0.000  0.500
Ti  0.000  0.500  0.000
Ti  0.500  0.000  0.000
Zn  0.500  0.500  0.500
Ru  0.000  0.000  0.000

Summary:
Excess energy over the best structure of this formula in the dataset: 0 meV per atom



An optimized crystal structure of Ti5Zn4Ru. Source: the Alexandria database, functional PBE.

Lattice parameters (Å, degrees): 3.125 3.125 15.714 90.00 90.00 90.00
Element x y z (fractional)
Ti  0.000  0.000  0.000
Ti  0.000  0.000  0.202
Ti  0.000  0.000  0.404
Ti  0.000  0.000  0.596
Ti  0.000  0.000  0.798
Zn  0.500  0.500  0.100
Zn  0.500  0.500  0.302
Zn  0.500  0.500  0.698
Zn  0.500  0.500  0.900
Ru  0.500  0.500  0.500



An optimized crystal structure of ZrTi3Ru2. Source: the Alexandria database, functional PBE.

Lattice parameters (Å, degrees): 3.103 3.103 10.169 90.00 90.00 90.00
Element x y z (fractional)
Zr  0.000  0.000  0.000
Ti  0.500  0.500  0.200
Ti  0.500  0.500  0.500
Ti  0.500  0.500  0.800
Ru  0.000  0.000  0.348
Ru  0.000  0.000  0.652



An optimized crystal structure of ZrTiRu. Source: the Alexandria database, functional PBE.

Lattice parameters (Å, degrees): 5.550 5.550 6.418 106.89 106.89 33.46
Element x y z (fractional)
Zr  0.157  0.157  0.086
Zr  0.843  0.843  0.914
Ti  0.152  0.152  0.571
Ti  0.848  0.848  0.429
Ru  0.499  0.499  0.262
Ru  0.501  0.501  0.738

Summary:
Excess energy over the best structure of this formula in the dataset: 50 meV per atom



An optimized crystal structure of ZrTiRu2. Source: the Alexandria database, functional PBE.

Lattice parameters (Å, degrees): 4.504 4.504 3.188 90.00 90.00 90.00
Element x y z (fractional)
Zr  0.000  0.000  0.000
Ti  0.500  0.500  0.000
Ru  0.000  0.500  0.500
Ru  0.500  0.000  0.500



An optimized crystal structure of ZrTi3Ru. Source: the Alexandria database, functional PBE.

Lattice parameters (Å, degrees): 4.684 4.684 4.684 90.00 90.00 90.00
Element x y z (fractional)
Zr  0.000  0.000  0.000
Ti  0.000  0.500  0.500
Ti  0.500  0.000  0.500
Ti  0.500  0.500  0.000
Ru  0.500  0.500  0.500

Summary:
Excess energy over the best structure of this formula in the dataset: 0 meV per atom



An optimized crystal structure of ZrTi2Ru. Source: the Alexandria database, functional PBE.

Lattice parameters (Å, degrees): 5.869 5.869 5.869 103.22 103.22 122.86
Element x y z (fractional)
Zr  0.000  0.000  0.000
Zr  0.750  0.250  0.500
Ti  0.174  0.625  0.049
Ti  0.375  0.424  0.549
Ti  0.576  0.125  0.951
Ti  0.875  0.826  0.451
Ru  0.250  0.750  0.500
Ru  0.500  0.500  0.000



An optimized crystal structure of ZrTiRu. Source: the Alexandria database, functional PBE.

Lattice parameters (Å, degrees): 5.514 5.514 5.615 120.56 120.56 47.30
Element x y z (fractional)
Zr  0.000  0.000  0.000
Zr  0.651  0.651  0.809
Ti  0.306  0.306  0.621
Ti  0.954  0.954  0.448
Ru  0.314  0.314  0.144
Ru  0.663  0.663  0.333

Summary:
Excess energy over the best structure of this formula in the dataset: 95 meV per atom



An optimized crystal structure of ZrTiRu. Source: the Alexandria database, functional PBE.

Lattice parameters (Å, degrees): 4.407 4.407 4.407 60.00 60.00 60.00
Element x y z (fractional)
Zr  0.000  0.000  0.000
Ti  0.500  0.500  0.500
Ru  0.750  0.750  0.750

Summary:
Excess energy over the best structure of this formula in the dataset: 339 meV per atom



An optimized crystal structure of ZrTi4Ru5. Source: the Alexandria database, functional PBE.

Lattice parameters (Å, degrees): 3.117 3.117 15.655 90.00 90.00 90.00
Element x y z (fractional)
Zr  0.000  0.000  0.000
Ti  0.000  0.000  0.207
Ti  0.000  0.000  0.402
Ti  0.000  0.000  0.598
Ti  0.000  0.000  0.793
Ru  0.500  0.500  0.111
Ru  0.500  0.500  0.305
Ru  0.500  0.500  0.500
Ru  0.500  0.500  0.695
Ru  0.500  0.500  0.889



An optimized crystal structure of ZrTiRu. Source: the Alexandria database, functional PBE.

Lattice parameters (Å, degrees): 5.567 5.567 5.567 146.70 146.70 47.81
Element x y z (fractional)
Zr  0.000  0.000  0.000
Ti  0.690  0.690  0.000
Ru  0.330  0.330  0.000

Summary:
Excess energy over the best structure of this formula in the dataset: 34 meV per atom



An optimized crystal structure of ZrTiRu. Source: the Alexandria database, functional PBE.

Lattice parameters (Å, degrees): 3.230 4.610 7.223 90.00 90.00 90.00
Element x y z (fractional)
Zr  0.250  0.250  0.147
Zr  0.750  0.750  0.853
Ti  0.250  0.750  0.486
Ti  0.750  0.250  0.514
Ru  0.250  0.250  0.776
Ru  0.750  0.750  0.224

Summary:
Excess energy over the best structure of this formula in the dataset: 79 meV per atom



An optimized crystal structure of ZrTiRu3. Source: the Alexandria database, functional PBE.

Lattice parameters (Å, degrees): 4.492 4.492 4.492 90.00 90.00 90.00
Element x y z (fractional)
Zr  0.000  0.000  0.000
Ti  0.500  0.500  0.500
Ru  0.000  0.500  0.500
Ru  0.500  0.000  0.500
Ru  0.500  0.500  0.000

Summary:
Excess energy over the best structure of this formula in the dataset: 0 meV per atom



An optimized crystal structure of ZrTiRu. Source: the Alexandria database, functional PBE.

Lattice parameters (Å, degrees): 7.190 7.190 4.630 90.00 90.00 154.13
Element x y z (fractional)
Zr  0.083  0.917  0.750
Zr  0.917  0.083  0.250
Ti  0.235  0.765  0.250
Ti  0.765  0.235  0.750
Ru  0.414  0.586  0.750
Ru  0.586  0.414  0.250

Summary:
Excess energy over the best structure of this formula in the dataset: 2 meV per atom



An optimized crystal structure of ZrTiRu. Source: the Alexandria database, functional PBE.

Lattice parameters (Å, degrees): 6.932 6.932 6.932 37.86 37.86 37.86
Element x y z (fractional)
Zr  0.129  0.129  0.129
Zr  0.871  0.871  0.871
Ti  0.294  0.294  0.294
Ti  0.706  0.706  0.706
Ru  0.423  0.423  0.423
Ru  0.577  0.577  0.577

Summary:
Excess energy over the best structure of this formula in the dataset: 221 meV per atom



An optimized crystal structure of ZrTiRu2. Source: the Alexandria database, functional PBE.

Lattice parameters (Å, degrees): 4.514 3.181 8.996 90.00 90.00 90.00
Element x y z (fractional)
Zr  0.250  0.000  0.131
Zr  0.750  0.000  0.869
Ti  0.250  0.000  0.618
Ti  0.750  0.000  0.382
Ru  0.250  0.500  0.385
Ru  0.250  0.500  0.865
Ru  0.750  0.500  0.135
Ru  0.750  0.500  0.615



An optimized crystal structure of Zr4TiRu5. Source: the Alexandria database, functional PBE.

Lattice parameters (Å, degrees): 3.236 3.236 16.223 90.00 90.00 90.00
Element x y z (fractional)
Zr  0.000  0.000  0.102
Zr  0.000  0.000  0.306
Zr  0.000  0.000  0.694
Zr  0.000  0.000  0.898
Ti  0.000  0.000  0.500
Ru  0.500  0.500  0.000
Ru  0.500  0.500  0.204
Ru  0.500  0.500  0.408
Ru  0.500  0.500  0.592
Ru  0.500  0.500  0.796



An optimized crystal structure of Zr2Ti2Ru. Source: the Alexandria database, functional PBE.

Lattice parameters (Å, degrees): 6.368 6.368 4.765 90.00 90.00 90.00
Element x y z (fractional)
Zr  0.163  0.337  0.000
Zr  0.337  0.837  0.000
Zr  0.663  0.163  0.000
Zr  0.837  0.663  0.000
Ti  0.152  0.652  0.500
Ti  0.348  0.152  0.500
Ti  0.652  0.848  0.500
Ti  0.848  0.348  0.500
Ru  0.000  0.000  0.500
Ru  0.500  0.500  0.500



An optimized crystal structure of ZrTiRu. Source: the Alexandria database, functional PBE.

Lattice parameters (Å, degrees): 3.184 3.184 10.260 90.00 90.00 90.00
Element x y z (fractional)
Zr  0.250  0.250  0.105
Zr  0.750  0.750  0.895
Ti  0.250  0.250  0.413
Ti  0.750  0.750  0.587
Ru  0.250  0.250  0.724
Ru  0.750  0.750  0.276

Summary:
Excess energy over the best structure of this formula in the dataset: 30 meV per atom



An optimized crystal structure of ZrTiRu2. Source: the Alexandria database, functional PBE.

Lattice parameters (Å, degrees): 3.175 3.175 6.386 90.00 90.00 90.00
Element x y z (fractional)
Zr  0.000  0.000  0.000
Ti  0.000  0.000  0.500
Ru  0.500  0.500  0.265
Ru  0.500  0.500  0.735



An optimized crystal structure of ZrTi2Ru. Source: the Alexandria database, functional PBE.

Lattice parameters (Å, degrees): 5.472 5.472 5.472 146.38 129.47 62.07
Element x y z (fractional)
Zr  0.000  0.000  0.000
Ti  0.274  0.774  0.500
Ti  0.726  0.226  0.500
Ru  0.500  0.500  0.000



Number 1: N(E_F) 14.52 states/eV per cell, mass density 6.8 g cm⁻³, raw total energy -5.95 eV/atom. Number 2: N(E_F) 5.76 states/eV per cell, mass density 6.8 g cm⁻³, raw total energy -5.76 eV/atom. Number 3: N(E_F) 8.92 states/eV per cell, mass density 8.1 g cm⁻³, raw total energy -6.66 eV/atom. Number 4: N(E_F) 4.34 states/eV per cell, mass density 8.1 g cm⁻³, raw total energy -5.08 eV/atom. Number 5: N(E_F) 6.74 states/eV per cell, mass density 5.0 g cm⁻³, raw total energy -6.41 eV/atom. Number 6: N(E_F) 4.07 states/eV per cell, mass density 6.5 g cm⁻³, raw total energy -5.68 eV/atom. Number 7: N(E_F) 4.14 states/eV per cell, mass density 7.4 g cm⁻³, raw total energy -8.96 eV/atom. Number 8: N(E_F) 7.14 states/eV per cell, mass density 7.7 g cm⁻³, raw total energy -8.99 eV/atom. Number 9: N(E_F) 1.39 states/eV per cell, mass density 8.8 g cm⁻³, raw total energy -9.40 eV/atom. Number 10: N(E_F) 4.70 states/eV per cell, mass density 5.4 g cm⁻³, raw total energy -8.01 eV/atom. Number 11: N(E_F) 5.60 states/eV per cell, mass density 6.4 g cm⁻³, raw total energy -8.39 eV/atom. Number 12: N(E_F) 5.89 states/eV per cell, mass density 7.6 g cm⁻³, raw total energy -8.95 eV/atom. Number 13: N(E_F) 4.35 states/eV per cell, mass density 6.6 g cm⁻³, raw total energy -8.70 eV/atom. Number 14: N(E_F) 2.75 states/eV per cell, mass density 8.6 g cm⁻³, raw total energy -9.37 eV/atom. Number 15: N(E_F) 3.23 states/eV per cell, mass density 7.7 g cm⁻³, raw total energy -9.01 eV/atom. Number 16: N(E_F) 6.01 states/eV per cell, mass density 7.4 g cm⁻³, raw total energy -8.96 eV/atom. Number 17: N(E_F) 3.32 states/eV per cell, mass density 8.1 g cm⁻³, raw total energy -8.40 eV/atom. Number 18: N(E_F) 5.07 states/eV per cell, mass density 7.6 g cm⁻³, raw total energy -9.04 eV/atom. Number 19: N(E_F) 4.27 states/eV per cell, mass density 7.1 g cm⁻³, raw total energy -8.82 eV/atom. Number 20: N(E_F) 2.53 states/eV per cell, mass density 8.8 g cm⁻³, raw total energy -9.41 eV/atom. Number 21: N(E_F) 3.13 states/eV per cell, mass density 9.0 g cm⁻³, raw total energy -9.49 eV/atom. Number 22: N(E_F) 13.44 states/eV per cell, mass density 6.5 g cm⁻³, raw total energy -8.59 eV/atom. Number 23: N(E_F) 6.82 states/eV per cell, mass density 7.7 g cm⁻³, raw total energy -9.01 eV/atom. Number 24: N(E_F) 1.66 states/eV per cell, mass density 8.8 g cm⁻³, raw total energy -9.41 eV/atom. Number 25: N(E_F) 4.89 states/eV per cell, mass density 6.9 g cm⁻³, raw total energy -8.76 eV/atom.